This record from the Alexandria database describes Li3Si2Ni2O8 after structural relaxation. The functional is PBE+U.

Computed properties:
E in eV per atom: -6.0856
Distance to the lowest polymorph of the same formula in eV/atom: 0.0010
Theoretical density in g cm⁻³: 3.10

Geometry as POSCAR:
```
Li3Si2Ni2O8
1.0
-4.726 -3.043 -8.708
-0.508 -4.628 1.892
-5.864 1.705 2.596
O Si Li Ni
16 4 6 4
Cartesian
-9.556 -4.220 -4.317
-5.195 -1.776 -3.909
-4.559 -3.398 -6.802
-2.946 -1.301 0.873
-5.589 -1.276 -0.620
-7.901 -2.337 -5.162
-6.817 -4.187 -3.041
-7.303 -3.699 0.446
-4.601 -3.947 -1.543
-2.169 -3.873 0.493
-7.803 -1.474 -2.185
-5.426 0.170 2.119
-4.491 -5.022 -4.013
-2.243 -2.297 -2.276
-7.015 -5.930 -5.709
-4.529 -3.347 1.592
-7.086 -0.591 -0.980
-5.363 -4.887 -2.655
-9.523 -2.785 -5.059
-2.945 -2.863 1.494
-6.592 -3.118 -6.647
-8.013 -5.245 -4.166
-4.274 -2.006 -2.126
-1.513 -1.121 -0.779
-3.950 -3.314 -4.859
-5.589 -3.168 -0.039
-5.028 -6.113 -5.540
-2.608 -4.072 -1.398
-4.535 -0.241 0.583
-6.970 -2.420 -3.503
```